First-principles (PBE) data for a relaxed Tb3Pr2Y crystal, as listed in Alexandria via LeMat-Bulk.

The space group is C2/m (No. 12) and the conventional cell measures 17.310, 5.663 and 10.076 Å, with angles of 90.00, 125.12 and 90.00 degrees. The inequivalent atoms are Tb at (0.047, 0.000, 0.391), Tb at (0.113, 0.500, 0.657), Tb at (0.210, 0.500, 0.428), Pr at (0.007, 0.500, 0.856), Pr at (0.231, 0.000, 0.873) and Y at (0.132, 0.000, 0.134).

As for the density of states at the Fermi level: 1.5883 states/eV per atom. For the relative energy among the computed polymorphs, the calculation gives 0 meV per atom. The total magnetization comes out at 0.00 μB per atom.


First-principles (PBE) data for a relaxed CdGaCu2 crystal, as listed in Alexandria via LeMat-Bulk.

The space group is R-3m (No. 166, hexagonal axes) and the conventional cell measures 3.6576, 3.6576 and 18.3921 Å, with angles of 90.00, 90.00 and 120.00 degrees. The inequivalent atoms are Cd at (0.0000, 0.0000, 0.0000), Ga at (0.0000, 0.0000, 0.5000) and Cu at (0.0000, 0.0000, 0.2375).

As for the density of states at the Fermi level: 0.1636 states/eV per atom. As for the total energy: -2.795 eV/atom. The total magnetization comes out at 0.00 μB per atom.


First-principles (PBE) data for a relaxed Ni2SbPd2 crystal, as listed in Alexandria via LeMat-Bulk.

The space group is I4/mmm (No. 139) and the conventional cell measures 3.406, 3.406 and 13.810 Å, with angles of 90.00, 90.00 and 90.00 degrees. The inequivalent atoms are Ni at (0.000, 0.500, 0.250), Sb at (0.000, 0.000, 0.000) and Pd at (0.000, 0.000, 0.393).

As for the density of states at the Fermi level: 1.2517 states/eV per atom. For the relative energy among the computed polymorphs, the calculation gives 138 meV per atom. Its uncorrected formation energy is 0.07 eV/atom. The total magnetization comes out at 0.09 μB per atom.


First-principles (PBE) data for a relaxed Pm8GeTe4Ir3 crystal, as listed in Alexandria via LeMat-Bulk.

The space group is R-3m (No. 166, hexagonal axes) and the conventional cell measures 8.5141, 8.5141 and 22.2753 Å, with angles of 90.00, 90.00 and 120.00 degrees. The inequivalent atoms are Pm at (0.0000, 0.0000, 0.2377), Pm at (0.0073, 0.5036, 0.7630), Ge at (0.0000, 0.0000, 0.5000), Te at (0.0000, 0.0000, 0.0000), Te at (0.0000, 0.5000, 0.0000) and Ir at (0.0000, 0.5000, 0.5000).

As for the density of states at the Fermi level: 0.4367 states/eV per atom. Its uncorrected formation energy is -1.05 eV/atom. The total magnetization comes out at 0.00 μB per atom.


First-principles (PBE) data for a relaxed Mn2TcSe crystal, as listed in Alexandria via LeMat-Bulk.

The space group is R-3m (No. 166, hexagonal axes) and the conventional cell measures 2.8072, 2.8072 and 23.6652 Å, with angles of 90.00, 90.00 and 120.00 degrees. The inequivalent atoms are Mn at (0.0000, 0.0000, 0.2474), Tc at (0.0000, 0.0000, 0.0000) and Se at (0.0000, 0.0000, 0.5000).

As for the density of states at the Fermi level: 1.2602 states/eV per atom. Its uncorrected formation energy is 0.31 eV/atom. The total magnetization comes out at 0.60 μB per atom.


First-principles (PBE) data for a relaxed Rb2MgI4 crystal, as listed in Alexandria via LeMat-Bulk.

The space group is I4/mmm (No. 139) and the conventional cell measures 5.893, 5.893 and 18.308 Å, with angles of 90.00, 90.00 and 90.00 degrees. The inequivalent atoms are Rb at (0.000, 0.000, 0.139), Mg at (0.000, 0.000, 0.500), I at (0.000, 0.000, 0.341) and I at (0.000, 0.500, 0.000).

As for the density of states at the Fermi level: 0.0000 states/eV per atom. For the relative energy among the computed polymorphs, the calculation gives 42 meV per atom. Its uncorrected formation energy is -1.27 eV/atom. The total magnetization comes out at 0.00 μB per atom.


First-principles (PBE) data for a relaxed Y2HgBr crystal, as listed in Alexandria via LeMat-Bulk.

The space group is C2/m (No. 12) and the conventional cell measures 7.280, 4.194 and 7.655 Å, with angles of 90.00, 108.44 and 90.00 degrees. The inequivalent atoms are Y at (0.247, 0.000, 0.242), Hg at (0.000, 0.500, 0.000) and Br at (0.000, 0.000, 0.500).

As for the density of states at the Fermi level: 0.7345 states/eV per atom. For the relative energy among the computed polymorphs, the calculation gives 26 meV per atom. Its uncorrected formation energy is -0.70 eV/atom. The total magnetization comes out at 0.00 μB per atom.


First-principles (PBE) data for a relaxed Y4NiAg crystal, as listed in Alexandria via LeMat-Bulk.

The space group is C2/c (No. 15) and the conventional cell measures 8.878, 13.389 and 6.096 Å, with angles of 90.00, 118.56 and 90.00 degrees. The inequivalent atoms are Y at (0.116, 0.179, 0.084), Y at (0.219, 0.433, 0.316), Ni at (0.000, 0.001, 0.250) and Ag at (0.000, 0.372, 0.750).

As for the density of states at the Fermi level: 1.2374 states/eV per atom. For the relative energy among the computed polymorphs, the calculation gives 96 meV per atom. The total magnetization comes out at 0.00 μB per atom.


First-principles (PBE) data for a relaxed ZnCdSiIr crystal, as listed in Alexandria via LeMat-Bulk.

The space group is Cm (No. 8) and the conventional cell measures 5.164, 2.969 and 9.042 Å, with angles of 90.00, 101.16 and 90.00 degrees. The inequivalent atoms are Zn at (0.000, 0.000, 0.000), Cd at (0.255, 0.500, 0.269), Si at (0.409, 0.500, 0.728) and Ir at (0.013, 0.500, 0.540).

As for the density of states at the Fermi level: 0.4441 states/eV per atom. For the relative energy among the computed polymorphs, the calculation gives 177 meV per atom. Its uncorrected formation energy is -0.04 eV/atom. The total magnetization comes out at 0.00 μB per atom.


First-principles (PBE) data for a relaxed Rb3Hg5Pb6 crystal, as listed in Alexandria via LeMat-Bulk.

The space group is Pmmn (No. 59, origin choice 2) and the conventional cell measures 5.186, 15.187 and 12.044 Å, with angles of 90.00, 90.00 and 90.00 degrees. The inequivalent atoms are Rb at (0.250, 0.061, 0.247), Rb at (0.250, 0.750, 0.249), Hg at (0.250, 0.091, 0.634), Hg at (0.250, 0.617, 0.982), Hg at (0.250, 0.750, 0.726), Pb at (0.250, 0.077, 0.892), Pb at (0.250, 0.250, 0.057), Pb at (0.250, 0.250, 0.457) and Pb at (0.250, 0.596, 0.517).

As for the density of states at the Fermi level: 0.4203 states/eV per atom. As for the total energy: -2.007 eV/atom. The total magnetization comes out at 0.00 μB per atom.


First-principles (PBE) data for a relaxed NiSe2Br crystal, as listed in Alexandria via LeMat-Bulk.

The space group is Cmmm (No. 65) and the conventional cell measures 4.611, 14.918 and 3.674 Å, with angles of 90.00, 90.00 and 90.00 degrees. The inequivalent atoms are Ni at (0.000, 0.000, 0.000), Se at (0.250, 0.250, 0.500) and Br at (0.000, 0.500, 0.000).

As for the density of states at the Fermi level: 1.6381 states/eV per atom. For the relative energy among the computed polymorphs, the calculation gives 819 meV per atom. Its uncorrected formation energy is 0.58 eV/atom. The total magnetization comes out at 0.26 μB per atom.


First-principles (PBE) data for a relaxed Tb3CePu2Se6 crystal, as listed in Alexandria via LeMat-Bulk.

The space group is C2/m (No. 12) and the conventional cell measures 18.056, 4.110 and 8.302 Å, with angles of 90.00, 103.95 and 90.00 degrees. The inequivalent atoms are Tb at (0.000, 0.000, 0.000), Tb at (0.167, 0.500, 0.333), Ce at (0.000, 0.000, 0.500), Pu at (0.166, 0.500, 0.832), Se at (0.001, 0.500, 0.244), Se at (0.166, 0.000, 0.084) and Se at (0.169, 0.000, 0.581).

As for the density of states at the Fermi level: 1.8312 states/eV per atom. Its uncorrected formation energy is -1.73 eV/atom. The total magnetization comes out at 1.06 μB per atom.


What did the ninth record say?
First-principles (PBE) data for a relaxed ZnCdSiIr crystal, as listed in Alexandria via LeMat-Bulk.

The space group is Cm (No. 8) and the conventional cell measures 5.164, 2.969 and 9.042 Å, with angles of 90.00, 101.16 and 90.00 degrees. The inequivalent atoms are Zn at (0.000, 0.000, 0.000), Cd at (0.255, 0.500, 0.269), Si at (0.409, 0.500, 0.728) and Ir at (0.013, 0.500, 0.540).

As for the density of states at the Fermi level: 0.4441 states/eV per atom. For the relative energy among the computed polymorphs, the calculation gives 177 meV per atom. Its uncorrected formation energy is -0.04 eV/atom. The total magnetization comes out at 0.00 μB per atom.